No. 1
A geometry-optimized CdIn2Re structure. Source: the Open Quantum Materials Database, functional GGA-PBE.

The calculation puts the density at 10.902 g cm⁻³. As for the calculated total energy: -15.5 eV per formula unit. The calculation puts the spin magnetization at 0.0 μB per formula unit.

It has space group F-43m (No. 216), with a = 6.853 Å, b = 6.853 Å, c = 6.853 Å, α = 90.00°, β = 90.00° and γ = 90.00°. Symmetry generates all atoms from Cd at (0.000, 0.000, 0.000), In at (0.000, 0.000, 0.500), In at (0.250, 0.250, 0.250) and Re at (0.250, 0.250, 0.750).

No. 2
A geometry-optimized Cs2Rb2ZnP2 structure. Source: the Open Quantum Materials Database, functional GGA-PBE.

The calculation puts the density at 3.234 g cm⁻³. As for the calculated total energy: -18.3 eV per formula unit.

It has space group R-3m (No. 166, hexagonal axes), with a = 5.9954 Å, b = 5.9954 Å, c = 27.9112 Å, α = 90.00°, β = 90.00° and γ = 120.00°. Symmetry generates all atoms from Cs at (0.0000, 0.0000, 0.2086), Rb at (0.0000, 0.0000, 0.3814), Zn at (0.0000, 0.0000, 0.0000) and P at (0.0000, 0.0000, 0.0799).